Entry 1:
## Nb2Tl5S4Cl9 (PBE-GGA)

Data for an optimized crystal structure of Nb2Tl5S4Cl9.

The structure in POSCAR format:
```
Nb2Tl5S4Cl9
1.0
-7.070 0.000 0.000
0.000 -9.665 0.000
3.535 4.833 7.862
Nb S Tl Cl
2 4 5 9
Direct
0.093 0.093 0.186
0.907 0.907 0.814
0.747 0.896 0.000
0.747 0.104 0.000
0.253 0.896 0.000
0.253 0.104 0.000
0.666 0.885 0.331
0.334 0.553 0.669
0.334 0.115 0.669
0.666 0.447 0.331
0.000 0.500 0.000
0.032 0.788 0.576
0.500 0.500 0.000
0.864 0.602 0.728
0.455 0.212 0.424
0.968 0.212 0.424
0.136 0.398 0.272
0.864 0.125 0.728
0.545 0.788 0.576
0.136 0.875 0.272
```

Summary:
SG: Immm
Theoretical density in g cm⁻³: 5.1
E_tot in eV/atom: -4.27
Total magnetization in μB per formula unit: 0.0



Entry 2:
## NbSeCl (PBE-GGA)

Data for an optimized crystal structure of NbSeCl.

The structure in POSCAR format:
```
NbSeCl
1.0
0.000 5.157 5.157
5.157 0.000 5.157
5.157 5.157 0.000
Cl Se Nb
4 4 4
Direct
0.864 0.407 0.864
0.864 0.864 0.864
0.864 0.864 0.407
0.407 0.864 0.864
0.363 0.363 0.910
0.363 0.910 0.363
0.910 0.363 0.363
0.363 0.363 0.363
0.605 0.605 0.605
0.605 0.605 0.186
0.186 0.605 0.605
0.605 0.186 0.605
```

Summary:
SG: F-43m
Theoretical density in g cm⁻³: 5.0
E_tot in eV/atom: -6.15
Total magnetization in μB per formula unit: 0.0



Entry 3:
## Nb3Se5Cl7 (PBE-GGA)

Data for an optimized crystal structure of Nb3Se5Cl7.

The structure in POSCAR format:
```
Nb3Se5Cl7
1.0
-0.841 6.664 -4.096
-7.988 -5.929 -8.005
-5.858 -0.059 5.889
Cl Se Nb
14 10 6
Direct
0.169 0.750 0.854
0.286 0.250 0.126
0.831 0.250 0.146
0.399 0.882 0.541
0.601 0.382 0.459
0.150 0.117 0.396
0.150 0.383 0.396
0.399 0.618 0.541
0.601 0.118 0.459
0.850 0.883 0.604
0.850 0.617 0.604
0.054 0.750 0.180
0.946 0.250 0.820
0.714 0.750 0.874
0.181 0.474 0.848
0.282 0.969 0.125
0.718 0.469 0.875
0.425 0.250 0.760
0.819 0.526 0.152
0.575 0.750 0.240
0.282 0.531 0.125
0.819 0.974 0.152
0.181 0.026 0.848
0.718 0.031 0.875
0.024 0.390 0.060
0.976 0.890 0.940
0.024 0.110 0.060
0.976 0.610 0.940
0.597 0.750 0.522
0.403 0.250 0.478
```

Summary:
SG: P2_1/m
Theoretical density in g cm⁻³: 3.8
E_tot in eV/atom: -5.02
Total magnetization in μB per formula unit: 0.0



Entry 4:
## Nb3TeCl7 (PBE-GGA)

Data for an optimized crystal structure of Nb3TeCl7.

The structure in POSCAR format:
```
Nb3TeCl7
1.0
6.941 0.000 0.000
-3.471 6.011 0.000
-0.001 0.000 12.828
Nb Te Cl
6 2 14
Direct
0.527 0.473 0.759
0.946 0.473 0.759
0.054 0.527 0.241
0.473 0.527 0.241
0.473 0.946 0.241
0.527 0.054 0.759
0.333 0.667 0.408
0.667 0.333 0.592
0.169 0.831 0.118
0.831 0.169 0.882
0.337 0.169 0.882
0.663 0.831 0.118
0.667 0.333 0.134
0.169 0.337 0.118
0.667 0.834 0.659
0.166 0.834 0.659
0.166 0.333 0.659
0.831 0.663 0.882
0.333 0.166 0.341
0.834 0.166 0.341
0.834 0.667 0.341
0.333 0.667 0.866
```

Summary:
SG: P-3m1
Theoretical density in g cm⁻³: 4.1
E_tot in eV/atom: -5.41
Total magnetization in μB per formula unit: 0.0



Entry 5:
## Nd3Cl2 (PBE-GGA)

Data for an optimized crystal structure of Nd3Cl2.

The structure in POSCAR format:
```
Nd3Cl2
1.0
4.284 -5.319 1.989
0.640 2.846 -6.488
5.407 1.502 5.093
Nd Cl
6 4
Direct
0.911 0.411 0.250
0.750 0.911 0.750
0.089 0.589 0.750
0.589 0.750 0.250
0.250 0.089 0.250
0.411 0.250 0.750
0.665 0.335 0.004
0.335 0.665 0.996
0.165 0.835 0.504
0.835 0.165 0.496
```

Summary:
SG: R-3c
Theoretical density in g cm⁻³: 6.0
E_tot in eV/atom: -4.67
Total magnetization in μB per formula unit: 0.0



Entry 6:
## Nd4Cl4O3 (PBE-GGA)

Data for an optimized crystal structure of Nd4Cl4O3.

The structure in POSCAR format:
```
Nd4Cl4O3
1.0
3.988 0.000 0.000
0.000 8.006 0.000
0.000 0.000 6.867
O Nd Cl
3 4 4
Direct
0.500 0.000 0.999
0.000 0.743 0.000
0.000 0.257 0.000
0.000 0.500 0.186
0.000 0.000 0.173
0.500 0.750 0.821
0.500 0.250 0.821
0.500 0.254 0.369
0.500 0.746 0.369
0.000 0.000 0.623
0.000 0.500 0.641
```

Summary:
SG: Pmm2
Theoretical density in g cm⁻³: 5.8
E_tot in eV/atom: -6.51
Total magnetization in μB per formula unit: 0.0



Q: The highest theoretical density belongs to which entry?
A: Nd3Cl2